Entry from the Alexandria database: a relaxed Pm2Zn3AgGe4 crystal (PBE-GGA).

Unit cell a=4.359 b=4.359 c=10.472 alpha=90.00 beta=90.00 gamma=90.00
Space group P-4m2 (No. 115)
One atom of each set of equivalent atoms:
1 Pm 0.000 0.500 0.243 (multiplicity 2)
2 Zn 0.000 0.500 0.872 (multiplicity 2)
3 Zn 0.500 0.500 0.500 (multiplicity 1)
4 Ag 0.000 0.000 0.500 (multiplicity 1)
5 Ge 0.000 0.000 0.000 (multiplicity 1)
6 Ge 0.000 0.500 0.643 (multiplicity 2)
7 Ge 0.500 0.500 0.000 (multiplicity 1)

Properties
- DFT formation energy: -37 kJ/mol of atoms
- Crystal system: tetragonal